Entry 1:
Compound: NdDyInGa
Source: Alexandria via LeMat-Bulk
Functional: PBE
Structure: optimized geometry

a = 3.700 Å, b = 3.700 Å, c = 7.568 Å
α = 90.00°, β = 90.00°, γ = 90.00°
Fractional coordinates of all 4 atoms:
In  0.000  0.000  0.845
Ga  0.000  0.000  0.370
Nd  0.500  0.500  0.120
Dy  0.500  0.500  0.593

Results
Space group: P4mm
ΔE_f in eV per formula unit: -2.09

***

Entry 2:
Compound: Ba2CuSi
Source: Alexandria via LeMat-Bulk
Functional: PBE
Structure: optimized geometry

a = 5.987 Å, b = 5.987 Å, c = 4.470 Å
α = 90.03°, β = 90.03°, γ = 52.29°
Fractional coordinates of all 4 atoms:
Ba  0.971  0.971  0.874
Ba  0.278  0.278  0.375
Cu  0.594  0.594  0.376
Si  0.657  0.657  0.876

Results
Space group: Cm
ΔE_f (raw) in eV/atom: -0.224

***

Entry 3:
Compound: HoTm2MgRh4
Source: Alexandria via LeMat-Bulk
Functional: PBE
Structure: optimized geometry

a = 4.699 Å, b = 4.699 Å, c = 8.157 Å
α = 73.26°, β = 73.26°, γ = 60.00°
Fractional coordinates of all 8 atoms:
Mg  0.500  0.500  0.500
Rh  0.125  0.125  0.625
Rh  0.376  0.376  0.871
Rh  0.875  0.875  0.375
Rh  0.624  0.624  0.129
Ho  0.000  0.000  0.000
Tm  0.245  0.245  0.265
Tm  0.755  0.755  0.735

Results
Space group: R-3m
ΔE_f in eV per formula unit: -6.96

***

Entry 4:
Compound: Pu2BiIr
Source: Alexandria via LeMat-Bulk
Functional: PBE
Structure: optimized geometry

a = 4.115 Å, b = 4.115 Å, c = 7.787 Å
α = 74.68°, β = 74.68°, γ = 60.00°
Each line ends with the local moment (μB).
Fractional coordinates of all 4 atoms:
Ir  0.000  0.000  0.000  -0.38
Pu  0.266  0.266  0.201  5.12
Pu  0.734  0.734  0.799  5.12
Bi  0.500  0.500  0.500  -0.14

Results
Space group: R-3m
ΔE_f in eV per formula unit: -1.42

***

| no. | calculated density (Mg/m³) | V (Å³ per cell) |
| --- | --- | --- |
| 1 | 7.876 | 104 |
| 2 | 4.798 | 127 |
| 3 | 10.594 | 147 |
| 4 | 13.577 | 109 |